Here is a relaxed Te2WCSe crystal from Alexandria via LeMat-Bulk. Energies are from GGA-PBE.

Unit cell a=5.356 b=5.356 c=3.959 alpha=90.00 beta=90.00 gamma=90.00
Element x y z (fractional)
Te  0.000  0.500  0.000
Te  0.500  0.000  0.000
W  0.000  0.000  0.000
C  0.000  0.000  0.500
Se  0.500  0.500  0.500

## Properties
Formation energy without anion corrections in eV/atom: 0.891
Calculated total energy in eV per cell: -27.49
Crystal system: tetragonal
Total moment in μB per formula unit: 0.00